Entry 1:
Computed, not measured: a relaxed structure of NaSrCN2 at the PBE level of DFT.

```
NaSrCN2
1.0
5.5414 0.0000 0.0000
0.0000 6.9159 -1.0167
0.0000 -3.4202 7.0287
Na Sr N C
2 2 4 2
direct
0.8492 0.5000 0.7500 Na
0.1508 0.5000 0.2500 Na
0.5010 0.0000 0.7500 Sr
0.4990 0.0000 0.2500 Sr
0.7913 0.9227 0.9616 N
0.2087 0.9227 0.4616 N
0.2087 0.0773 0.0384 N
0.7913 0.0773 0.5384 N
0.0000 0.0000 0.5000 C
0.0000 0.0000 0.0000 C
```

Summary:
DOS(E_F): 0.24 states/eV per atom
Total magnetization: 0.000 μB/f.u.
Raw formation energy: -527 meV per atom
Space group: P2/c (13)
Electronic total energy: -6.3024 eV per atom

Entry 2:
Computed, not measured: a relaxed structure of NaTe2CN at the PBE level of DFT.

```
NaTe2CN
1.0
6.3665 0.0000 0.0000
0.0000 2.6649 0.0000
0.0000 0.0000 6.3665
Te N C Na
2 1 1 1
direct
0.5000 0.0000 0.0000 Te
0.0000 0.0000 0.5000 Te
0.0000 0.5000 0.0000 N
0.0000 0.0000 0.0000 C
0.5000 0.5000 0.5000 Na
```

Summary:
DOS(E_F): 0.37 states/eV per atom
Total magnetization: 0.000 μB/f.u.
Raw formation energy: 661 meV per atom
E above lowest polymorph: 0.0 meV/atom
Space group: P4/mmm (123)
Electronic total energy: -4.3696 eV per atom

Entry 3:
Computed, not measured: a relaxed structure of NaTeCN2 at the PBE level of DFT.

```
NaTeCN2
1.0
-0.7318 3.1752 -2.2698
-1.9987 -2.2884 -2.5568
-3.9115 0.7832 2.3567
Te N Na C
1 2 1 1
direct
0.0000 0.0000 0.5000 Te
0.5000 0.0000 0.0000 N
0.0000 0.5000 0.0000 N
0.5000 0.5000 0.5000 Na
0.0000 0.0000 0.0000 C
```

Summary:
DOS(E_F): 0.60 states/eV per atom
Total magnetization: 2.658 μB/f.u.
Raw formation energy: 2226 meV per atom
E above lowest polymorph: 0.0 meV/atom
Space group: P4/mmm (123)
Electronic total energy: -3.8411 eV per atom